# 1
Computed, not measured: a relaxed Th2NiGe3Ir4 crystal at the PBE level of DFT.

- ΔH_f (0 K): -737 meV per atom
- E: -7.73 eV per atom
- Space group: P-4m2 (115)

abc: 4.2002 4.2002 10.3936
angles: 90.00 90.00 90.00
Fractional positions:
Ir  0.0000  0.5000  0.3655
Ir  0.5000  0.5000  0.0000
Ir  0.0000  0.0000  0.0000
Ir  0.5000  0.0000  0.6345
Th  0.0000  0.5000  0.7394
Th  0.5000  0.0000  0.2606
Ni  0.5000  0.5000  0.5000
Ge  0.0000  0.0000  0.5000
Ge  0.5000  0.0000  0.8691
Ge  0.0000  0.5000  0.1309

=====

# 2
Computed, not measured: a relaxed Th2NiGe4Ir3 crystal at the PBE level of DFT.

- ΔH_f (0 K): -763 meV per atom
- E: -7.33 eV per atom
- Space group: P-4m2 (115)

abc: 4.2825 4.2825 10.0658
angles: 90.00 90.00 90.00
Fractional positions:
Ge  0.0000  0.5000  0.3741
Ge  0.5000  0.5000  0.0000
Ge  0.0000  0.0000  0.0000
Ge  0.5000  0.0000  0.6259
Th  0.0000  0.5000  0.7488
Th  0.5000  0.0000  0.2512
Ir  0.5000  0.0000  0.8699
Ir  0.0000  0.0000  0.5000
Ir  0.0000  0.5000  0.1301
Ni  0.5000  0.5000  0.5000

=====

# 3
Computed, not measured: a relaxed ThNi2Ge2Ir crystal at the PBE level of DFT.

- ΔH_f (0 K): -3 meV per atom
- E: -6.18 eV per atom
- Space group: P4/mmm (123)

abc: 4.7291 4.7291 5.3169
angles: 90.00 90.00 90.00
Fractional positions:
Ni  0.5000  0.5000  0.7402
Ni  0.5000  0.5000  0.2598
Th  0.0000  0.0000  0.5000
Ge  0.0000  0.5000  0.0000
Ge  0.5000  0.0000  0.0000
Ir  0.0000  0.0000  0.0000

=====

# 4
Computed, not measured: a relaxed Th2Ni12Ge3Ir crystal at the PBE level of DFT.

- ΔH_f (0 K): -38 meV per atom
- E: -5.98 eV per atom
- Space group: R-3m (166)

abc: 6.4153 6.4153 6.4153
angles: 83.88 83.88 83.88
Fractional positions:
Ge  0.0000  0.5000  0.0000
Ge  0.0000  0.0000  0.5000
Ge  0.5000  0.0000  0.0000
Ni  0.2884  0.8020  0.8020
Ni  0.7116  0.1980  0.1980
Ni  0.1123  0.6028  0.6028
Ni  0.8877  0.3972  0.3972
Ni  0.1980  0.7116  0.1980
Ni  0.3972  0.3972  0.8877
Ni  0.8020  0.2884  0.8020
Ni  0.3972  0.8877  0.3972
Ni  0.8020  0.8020  0.2884
Ni  0.6028  0.6028  0.1123
Ni  0.1980  0.1980  0.7116
Ni  0.6028  0.1123  0.6028
Th  0.3241  0.3241  0.3241
Th  0.6759  0.6759  0.6759
Ir  0.0000  0.0000  0.0000

=====

# 5
Computed, not measured: a relaxed Th2Ni3Ge4Ir crystal at the PBE level of DFT.

- ΔH_f (0 K): -743 meV per atom
- E: -6.69 eV per atom
- Space group: P-4m2 (115)

abc: 4.2055 4.2055 9.7901
angles: 90.00 90.00 90.00
Site moments in Bohr magnetons follow the coordinates.
Fractional positions:
Ni  0.0000  0.0000  0.5000  0.15
Ni  0.5000  0.0000  0.8801  0.00
Ni  0.0000  0.5000  0.1199  0.00
Th  0.5000  0.0000  0.2499  0.00
Th  0.0000  0.5000  0.7501  0.00
Ge  0.5000  0.5000  0.0000  0.00
Ge  0.0000  0.5000  0.3621  0.00
Ge  0.0000  0.0000  0.0000  0.00
Ge  0.5000  0.0000  0.6379  0.00
Ir  0.5000  0.5000  0.5000  0.08

=====

# 6
Computed, not measured: a relaxed ThNiGe2Ir2 crystal at the PBE level of DFT.

- ΔH_f (0 K): -285 meV per atom
- E: -6.98 eV per atom
- Space group: P4/mmm (123)

abc: 4.4521 4.4521 5.4896
angles: 90.00 90.00 90.00
Fractional positions:
Ir  0.5000  0.5000  0.7351
Ir  0.5000  0.5000  0.2649
Ge  0.0000  0.5000  0.0000
Ge  0.5000  0.0000  0.0000
Th  0.0000  0.0000  0.5000
Ni  0.0000  0.0000  0.0000

=====

# 7
Computed, not measured: a relaxed Ti2Ni7Ge2Ir crystal at the PBE level of DFT.

- ΔH_f (0 K): -213 meV per atom
- E: -6.41 eV per atom
- Space group: C2/m (12)

abc: 3.5479 3.5479 12.7428
angles: 81.76 81.76 90.00
Site moments in Bohr magnetons follow the coordinates.
Fractional positions:
Ni  0.7710  0.7710  0.4613  -0.01
Ni  0.4216  0.9217  0.1503  0.16
Ni  0.9217  0.4216  0.1503  0.16
Ni  0.0783  0.5784  0.8497  0.16
Ni  0.5000  0.5000  0.0000  0.10
Ni  0.2290  0.2290  0.5387  -0.01
Ni  0.5784  0.0783  0.8497  0.16
Ti  0.3226  0.3226  0.3436  0.01
Ti  0.6774  0.6774  0.6564  0.01
Ir  0.0000  0.0000  0.0000  0.20
Ge  0.8576  0.8576  0.2747  0.00
Ge  0.1424  0.1424  0.7253  0.00

=====

# 8
Computed, not measured: a relaxed Tm2NiGe4Ir3 crystal at the PBE level of DFT.

- ΔH_f (0 K): -679 meV per atom
- E: -6.66 eV per atom
- Space group: P-4m2 (115)

abc: 4.0864 4.0864 10.5040
angles: 90.00 90.00 90.00
Fractional positions:
Ir  0.0000  0.5000  0.1369
Ir  0.0000  0.0000  0.5000
Ir  0.5000  0.0000  0.8631
Tm  0.5000  0.0000  0.2522
Tm  0.0000  0.5000  0.7478
Ge  0.5000  0.5000  0.0000
Ge  0.0000  0.0000  0.0000
Ge  0.0000  0.5000  0.3683
Ge  0.5000  0.0000  0.6317
Ni  0.5000  0.5000  0.5000

=====

# 9
Computed, not measured: a relaxed TmNiGe2Ir crystal at the PBE level of DFT.

- ΔH_f (0 K): -647 meV per atom
- E: -6.32 eV per atom
- Space group: I-4m2 (119)

abc: 4.0693 4.0693 5.8717
angles: 110.27 110.27 90.00
Site moments in Bohr magnetons follow the coordinates.
Fractional positions:
Tm  0.0000  0.0000  0.0000  0.02
Ir  0.7500  0.2500  0.5000  0.10
Ni  0.2500  0.7500  0.5000  0.17
Ge  0.3795  0.3795  0.7590  0.01
Ge  0.6205  0.6205  0.2410  0.01

=====

# 10
Computed, not measured: a relaxed U2NiGe3Ir4 crystal at the PBE level of DFT.

- ΔH_f (0 K): -424 meV per atom
- E: -8.19 eV per atom
- Space group: P-4m2 (115)

abc: 4.0651 4.0651 10.6330
angles: 90.00 90.00 90.00
Site moments in Bohr magnetons follow the coordinates.
Fractional positions:
Ir  0.5000  0.5000  0.0000  -0.04
Ir  0.0000  0.0000  0.0000  -0.06
Ir  0.0000  0.5000  0.3574  -0.14
Ir  0.5000  0.0000  0.6426  -0.14
U  0.5000  0.0000  0.2610  1.95
U  0.0000  0.5000  0.7390  1.95
Ge  0.0000  0.5000  0.1309  -0.01
Ge  0.5000  0.0000  0.8691  -0.01
Ge  0.0000  0.0000  0.5000  0.00
Ni  0.5000  0.5000  0.5000  -0.06

=====

# 11
Computed, not measured: a relaxed UNiGeIr crystal at the PBE level of DFT.

- ΔH_f (0 K): -140 meV per atom
- E: -7.78 eV per atom
- Space group: F-43m (216)

abc: 4.5160 4.5160 4.5160
angles: 60.00 60.00 60.00
Site moments in Bohr magnetons follow the coordinates.
Fractional positions:
Ir  0.0000  0.0000  0.0000  -0.09
U  0.5000  0.5000  0.5000  0.69
Ge  0.2500  0.2500  0.2500  0.01
Ni  0.7500  0.7500  0.7500  -0.12

=====

# 12
Computed, not measured: a relaxed VNiGeIr crystal at the PBE level of DFT.

- ΔH_f (0 K): -198 meV per atom
- E: -7.29 eV per atom
- Space group: F-43m (216)

abc: 4.2428 4.2428 4.2428
angles: 60.00 60.00 60.00
Site moments in Bohr magnetons follow the coordinates.
Fractional positions:
V  0.7500  0.7500  0.7500  0.91
Ge  0.2500  0.2500  0.2500  -0.01
Ir  0.0000  0.0000  0.0000  -0.07
Ni  0.5000  0.5000  0.5000  0.23

=====

# 13
Computed, not measured: a relaxed Ni2GeIrW crystal at the PBE level of DFT.

- ΔH_f (0 K): 1379 meV per atom
- E: -6.22 eV per atom
- Space group: P4/mmm (123)

abc: 4.5454 4.7672 4.5454
angles: 90.00 90.00 90.00
Fractional positions:
Ge  0.5000  0.5000  0.5000
Ni  0.0000  0.0000  0.5000
Ni  0.5000  0.0000  0.0000
Ir  0.0000  0.5000  0.0000
W  0.0000  0.0000  0.0000

=====

# 14
Computed, not measured: a relaxed Y2NiGe4Ir3 crystal at the PBE level of DFT.

- ΔH_f (0 K): -708 meV per atom
- E: -7.08 eV per atom
- Space group: P-4m2 (115)

abc: 4.1844 4.1844 10.2135
angles: 90.00 90.00 90.00
Fractional positions:
Ir  0.0000  0.0000  0.5000
Ir  0.0000  0.5000  0.1319
Ir  0.5000  0.0000  0.8681
Ge  0.0000  0.0000  0.0000
Ge  0.0000  0.5000  0.3705
Ge  0.5000  0.0000  0.6295
Ge  0.5000  0.5000  0.0000
Y  0.0000  0.5000  0.7515
Y  0.5000  0.0000  0.2485
Ni  0.5000  0.5000  0.5000

=====

# 15
Computed, not measured: a relaxed Y2NiGe3Ir4 crystal at the PBE level of DFT.

- ΔH_f (0 K): -694 meV per atom
- E: -7.49 eV per atom
- Space group: P-4m2 (115)

abc: 4.1372 4.1372 10.3506
angles: 90.00 90.00 90.00
Fractional positions:
Ir  0.5000  0.5000  0.0000
Ir  0.0000  0.5000  0.3669
Ir  0.0000  0.0000  0.0000
Ir  0.5000  0.0000  0.6331
Ge  0.0000  0.0000  0.5000
Ge  0.5000  0.0000  0.8668
Ge  0.0000  0.5000  0.1332
Y  0.5000  0.0000  0.2518
Y  0.0000  0.5000  0.7482
Ni  0.5000  0.5000  0.5000

=====

# 16
Computed, not measured: a relaxed Y2NiGeIr crystal at the PBE level of DFT.

- ΔH_f (0 K): -24 meV per atom
- E: -6.46 eV per atom
- Space group: P4/mmm (123)

abc: 5.0864 4.4831 5.0864
angles: 90.00 90.00 90.00
Site moments in Bohr magnetons follow the coordinates.
Fractional positions:
Ge  0.5000  0.5000  0.5000  0.00
Ir  0.0000  0.5000  0.0000  -0.23
Y  0.0000  0.0000  0.5000  0.03
Y  0.5000  0.0000  0.0000  0.04
Ni  0.0000  0.0000  0.0000  -0.23

=====

# 17
Computed, not measured: a relaxed Np4Ge16Ir3 crystal at the PBE level of DFT.

- ΔH_f (0 K): -159 meV per atom
- E: -6.78 eV per atom
- Space group: P4/mmm (123)

abc: 6.2141 6.2139 11.1592
angles: 90.00 89.99 90.00
Site moments in Bohr magnetons follow the coordinates.
Fractional positions:
Ir  0.5000  0.0000  0.5000  0.05
Ir  0.0000  0.5000  0.5000  0.05
Ir  0.0000  0.0000  0.0000  0.06
Np  0.5001  0.0000  0.8142  3.74
Np  0.4999  0.0000  0.1858  3.74
Np  0.9998  0.5000  0.8143  3.74
Np  0.0002  0.5000  0.1857  3.74
Ge  0.7155  0.7156  0.0001  -0.03
Ge  0.7463  0.7463  0.3745  -0.01
Ge  0.7155  0.2844  0.0001  -0.03
Ge  0.2845  0.7156  0.9999  -0.03
Ge  0.4999  0.5000  0.2105  -0.03
Ge  0.7462  0.2537  0.3745  -0.01
Ge  0.7467  0.7466  0.6254  -0.01
Ge  0.0003  0.0000  0.7689  -0.01
Ge  0.5001  0.5000  0.7895  -0.03
Ge  0.9997  0.0000  0.2311  -0.01
Ge  0.2538  0.7463  0.6255  -0.01
Ge  0.7467  0.2534  0.6255  -0.01
Ge  0.2537  0.2537  0.6255  -0.01
Ge  0.2845  0.2844  0.9999  -0.03
Ge  0.2533  0.2534  0.3746  -0.01
Ge  0.2533  0.7466  0.3745  -0.01

=====

# 18
Computed, not measured: a relaxed NpGe4Ir2 crystal at the PBE level of DFT.

- ΔH_f (0 K): -372 meV per atom
- E: -7.39 eV per atom
- Space group: Pnma (62)

abc: 4.2266 6.7340 17.3522
angles: 90.00 90.00 90.00
Site moments in Bohr magnetons follow the coordinates.
Fractional positions:
Ge  0.7500  0.6334  0.9647  -0.01
Ge  0.2500  0.4696  0.4340  -0.01
Ge  0.2500  0.1334  0.5353  -0.01
Ge  0.2500  0.2731  0.6925  0.00
Ge  0.7500  0.7269  0.3075  0.00
Ge  0.7500  0.9696  0.0660  -0.01
Ge  0.7500  0.7731  0.8075  0.00
Ge  0.7500  0.1965  0.8172  -0.01
Ge  0.7500  0.5304  0.5660  -0.01
Ge  0.7500  0.8666  0.4647  -0.01
Ge  0.2500  0.0304  0.9340  -0.01
Ge  0.2500  0.6965  0.6828  -0.01
Ge  0.7500  0.3035  0.3172  -0.01
Ge  0.2500  0.2269  0.1925  0.00
Ge  0.2500  0.3666  0.0353  -0.01
Ge  0.2500  0.8035  0.1828  -0.01
Ir  0.7500  0.0180  0.2103  -0.05
Ir  0.7500  0.2483  0.9685  -0.05
Ir  0.7500  0.4820  0.7103  -0.05
Ir  0.2500  0.7517  0.0315  -0.05
Ir  0.2500  0.7483  0.5315  -0.05
Ir  0.7500  0.2517  0.4685  -0.05
Ir  0.2500  0.5180  0.2897  -0.05
Ir  0.2500  0.9820  0.7897  -0.05
Np  0.7500  0.5077  0.1417  3.74
Np  0.2500  0.4923  0.8583  3.74
Np  0.2500  0.0077  0.3583  3.74
Np  0.7500  0.9923  0.6417  3.74

=====

# 19
Computed, not measured: a relaxed Np2Ge3Ir crystal at the PBE level of DFT.

- ΔH_f (0 K): -265 meV per atom
- E: -8.36 eV per atom
- Space group: Pmm2 (25)

abc: 3.6812 4.4369 7.3474
angles: 90.00 90.00 90.00
Site moments in Bohr magnetons follow the coordinates.
Fractional positions:
Ge  0.5000  0.0000  0.1673  -0.03
Ge  0.5000  0.0000  0.8293  -0.05
Ge  0.5000  0.5000  0.6690  -0.02
Ir  0.5000  0.5000  0.3284  -0.26
Np  0.0000  0.5000  0.0123  3.65
Np  0.0000  0.0000  0.4937  3.62

=====

# 20
Computed, not measured: a relaxed NpGeIr crystal at the PBE level of DFT.

- ΔH_f (0 K): -427 meV per atom
- E: -9.23 eV per atom
- Space group: Imm2 (44)

abc: 4.3167 5.5819 5.5819
angles: 85.93 67.25 67.25
Site moments in Bohr magnetons follow the coordinates.
Fractional positions:
Ir  0.2152  0.7670  0.8025  -0.30
Ir  0.7848  0.1975  0.2330  -0.30
Np  0.0000  0.6002  0.3998  3.41
Np  0.5000  0.1956  0.8044  3.45
Ge  0.6962  0.6134  0.9942  -0.04
Ge  0.3038  0.0058  0.3866  -0.04

=====

# 21
Computed, not measured: a relaxed NpGeIr2 crystal at the PBE level of DFT.

- ΔH_f (0 K): -174 meV per atom
- E: -8.99 eV per atom
- Space group: P4/mmm (123)

abc: 3.9821 4.1866 4.1866
angles: 90.00 90.00 90.00
Site moments in Bohr magnetons follow the coordinates.
Fractional positions:
Np  0.5000  0.5000  0.5000  3.09
Ir  0.0000  0.5000  0.0000  -0.14
Ir  0.0000  0.0000  0.5000  -0.14
Ge  0.5000  0.0000  0.0000  -0.02

=====

# 22
Computed, not measured: a relaxed Np3Ge7Ir2 crystal at the PBE level of DFT.

- ΔH_f (0 K): -243 meV per atom
- E: -7.65 eV per atom
- Space group: P2/m (10)

abc: 4.2318 4.2543 13.0410
angles: 80.58 90.00 90.00
Site moments in Bohr magnetons follow the coordinates.
Fractional positions:
Ge  0.0000  0.0000  0.0000  0.00
Ge  0.5000  0.2763  0.4471  -0.03
Ge  0.5000  0.7237  0.5529  -0.03
Ge  0.5000  0.0808  0.8363  0.00
Ge  0.0000  0.4181  0.1642  0.01
Ge  0.5000  0.9192  0.1637  0.00
Ge  0.0000  0.5819  0.8358  0.01
Np  0.5000  0.5000  0.0000  -0.05
Np  0.0000  0.8155  0.3683  3.86
Np  0.0000  0.1845  0.6317  3.86
Ir  0.5000  0.3719  0.2588  -0.07
Ir  0.5000  0.6281  0.7412  -0.07